Entry 1:
VASP calculation (SCAN) on a PBEsol-optimized structure of CsErO2.

Computed properties:
Formation energy (no corrections) (kJ/mol of formula units): -1137.7
N(E_F) (states/eV/f.u.): 0.0
Magnetization (μB/f.u.): 0.0

Cell lengths 3.4691, 3.4691, 13.4594 Å; angles 90.00, 90.00, 120.00 degrees
Space group P6_3/mmc (No. 194)
One atom of each set of equivalent atoms:
1 Cs 0.3333 0.6667 0.2500 [2 per cell]
2 Er 0.0000 0.0000 0.0000 [2 per cell]
3 O 0.3333 0.6667 0.5822 [4 per cell]

---

Entry 2:
VASP calculation (SCAN) on a PBEsol-optimized structure of CsErP2O7.

Computed properties:
Formation energy (no corrections) (kJ/mol of formula units): -3179.1
N(E_F) (states/eV/f.u.): 0.0
Magnetization (μB/f.u.): 0.0

Cell lengths 7.886, 10.832, 8.760 Å; angles 90.00, 104.75, 90.00 degrees
Space group P2_1/c (No. 14)
One atom of each set of equivalent atoms:
1 Cs 0.194 0.186 0.056 [4 per cell]
2 Er 0.236 0.599 0.254 [4 per cell]
3 P 0.131 0.597 0.823 [4 per cell]
4 P 0.427 0.631 0.684 [4 per cell]
5 O 0.002 0.502 0.728 [4 per cell]
6 O 0.085 0.727 0.759 [4 per cell]
7 O 0.152 0.587 0.999 [4 per cell]
8 O 0.320 0.560 0.794 [4 per cell]
9 O 0.326 0.606 0.514 [4 per cell]
10 O 0.392 0.071 0.772 [4 per cell]
11 O 0.439 0.733 0.229 [4 per cell]

---

Entry 3:
VASP calculation (SCAN) on a PBEsol-optimized structure of CsErP4O12.

Computed properties:
Formation energy (no corrections) (kJ/mol of formula units): -4762.6
N(E_F) (states/eV/f.u.): 0.0
Magnetization (μB/f.u.): 0.0

Cell lengths 10.215, 8.827, 12.779 Å; angles 90.00, 123.45, 90.00 degrees
Space group P2_1/c (No. 14)
One atom of each set of equivalent atoms:
1 Cs 0.221 0.064 0.041 [4 per cell]
2 Er 0.315 0.727 0.818 [4 per cell]
3 P 0.029 0.027 0.286 [4 per cell]
4 P 0.200 0.612 0.027 [4 per cell]
5 P 0.331 0.172 0.372 [4 per cell]
6 P 0.392 0.090 0.744 [4 per cell]
7 O 0.039 0.548 0.906 [4 per cell]
8 O 0.079 0.585 0.726 [4 per cell]
9 O 0.129 0.596 0.295 [4 per cell]
10 O 0.160 0.160 0.351 [4 per cell]
11 O 0.164 0.715 0.102 [4 per cell]
12 O 0.272 0.047 0.599 [4 per cell]
13 O 0.284 0.208 0.760 [4 per cell]
14 O 0.297 0.673 0.982 [4 per cell]
15 O 0.374 0.026 0.339 [4 per cell]
16 O 0.424 0.546 0.325 [4 per cell]
17 O 0.436 0.244 0.497 [4 per cell]
18 O 0.473 0.675 0.742 [4 per cell]

---

Entry 4:
VASP calculation (SCAN) on a PBEsol-optimized structure of CsErZnTe3.

Computed properties:
Formation energy (no corrections) (kJ/mol of formula units): -699.4
N(E_F) (states/eV/f.u.): 0.0
Magnetization (μB/f.u.): 0.0

Cell lengths 4.316, 16.769, 11.424 Å; angles 90.00, 90.00, 90.00 degrees
Space group Cmcm (No. 63)
One atom of each set of equivalent atoms:
1 Cs 0.000 0.247 0.250 [4 per cell]
2 Er 0.000 0.500 0.000 [4 per cell]
3 Zn 0.000 0.037 0.750 [4 per cell]
4 Te 0.000 0.121 0.556 [8 per cell]
5 Te 0.000 0.439 0.750 [4 per cell]

---

Which formula does entry 2 have? CsErP2O7

---

Among the records above, which one has the lowest formation energy (no corrections)? CsErP4O12